Arrangement one

18
Lattice="6.689 0.000 0.000 -3.344 10.283 -5.446 0.000 -3.967 10.605" Properties=species:S:1:pos:R:3 comment="Tb3NdHo5 GGA-PBE relaxed" total_magnetization_mub_per_fu=0.00 space_group="C2/c, No. 15" volume_a3_per_cell=584.9 pbc="T T T"
Tb 2.523 2.441 3.990
Tb 4.166 4.424 -1.313
Tb 0.000 -1.983 5.303
Tb -0.822 1.892 6.472
Tb 0.000 0.000 0.000
Tb 0.822 3.875 1.169
Ho 2.537 6.575 -3.296
Ho 4.553 -0.992 2.651
Ho -0.026 6.754 -0.771
Ho 0.026 4.770 4.531
Ho -0.807 1.724 3.153
Ho 3.370 -0.438 5.930
Ho 0.807 -0.259 8.455
Ho 4.152 4.591 2.006
Ho 2.135 -2.975 7.954
Ho 3.318 1.546 0.627
Nd 5.166 -2.975 7.954
Nd 1.523 -0.992 2.651

Arrangement two

18
Lattice="-6.488 -6.404 1.780 0.691 -7.815 4.972 -5.509 -2.785 11.158" Properties=species:S:1:pos:R:3 comment="Tb3NdHo5 GGA-PBE relaxed" total_magnetization_mub_per_fu=0.00 space_group="C2/m, No. 12" volume_a3_per_cell=620.6 pbc="T T T"
Ho -4.478 -6.503 11.277
Ho -4.191 -6.855 2.802
Ho -4.039 -9.157 5.034
Ho -3.893 -11.078 7.939
Ho -7.414 -5.926 9.972
Ho -7.268 -7.847 12.876
Ho -1.607 -7.363 3.951
Ho -6.353 -9.499 10.087
Ho -4.954 -7.505 7.823
Ho -6.829 -10.501 6.633
Tb 0.000 0.000 0.000
Tb -3.493 -5.216 5.550
Tb -2.755 -1.393 5.579
Tb -6.718 -12.801 9.449
Tb -4.588 -4.203 8.461
Tb -7.814 -11.788 12.361
Nd -1.335 -1.880 2.170
Nd -9.972 -15.124 15.740

Of them, the most stable is arrangement one and the least stable is arrangement two.

Arrangement one

11
Lattice="3.541 0.000 0.002 0.000 5.686 0.004 1.761 2.826 17.899" Properties=species:S:1:pos:R:3 comment="Tb4Nd4Ho3 GGA-PBE relaxed" total_magnetization_mub_per_fu=0.00 space_group="P-1, No. 2" volume_a3_per_cell=360.3 pbc="T T T"
Tb 3.534 5.672 16.278
Tb 1.767 5.679 6.461
Tb 3.535 2.833 11.444
Tb 1.769 2.839 1.627
Nd 1.767 2.834 8.299
Nd 3.536 5.677 9.606
Nd 3.533 2.831 14.667
Nd 1.769 5.681 3.238
Ho 1.761 2.826 17.899
Ho 3.538 2.837 4.855
Ho 1.765 5.675 13.051

Arrangement two

11
Lattice="3.560 0.000 -0.656 -0.851 8.206 -4.619 0.356 1.301 11.921" Properties=species:S:1:pos:R:3 comment="Tb4Nd4Ho3 GGA-PBE relaxed" total_magnetization_mub_per_fu=0.00 space_group="Immm, No. 71" volume_a3_per_cell=372.2 pbc="T T T"
Tb 1.624 1.504 -1.175
Tb 1.085 6.702 -4.100
Tb 0.469 6.923 2.535
Tb 2.596 2.583 4.111
Ho 0.366 1.155 1.984
Ho 2.699 8.351 4.662
Ho -0.425 4.103 -2.310
Nd 1.367 2.388 7.427
Nd 1.697 7.118 -0.781
Nd 2.000 4.204 0.860
Nd 1.065 5.302 5.786

Of them, the most stable is arrangement one and the least stable is arrangement two.

Arrangement one

9
Lattice="5.017 0.000 0.000 2.509 7.552 0.000 2.509 0.000 7.552" Properties=species:S:1:pos:R:3 comment="Tb4NdHo4 GGA-PBE relaxed" total_magnetization_mub_per_fu=0.00 space_group="I4/mmm, No. 139" volume_a3_per_cell=286.2 pbc="T T T"
Ho 2.509 2.529 0.000
Ho 7.526 5.024 7.552
Ho 5.017 0.000 5.024
Ho 5.017 7.552 2.529
Tb 2.509 2.519 5.033
Tb 7.526 5.033 2.520
Tb 5.017 2.520 2.519
Tb 5.017 5.033 5.033
Nd 0.000 0.000 0.000

Arrangement two

18
Lattice="-8.501 -2.381 -3.916 2.976 2.128 7.837 -8.755 9.828 4.805" Properties=species:S:1:pos:R:3 comment="Tb4NdHo4 GGA-PBE relaxed" total_magnetization_mub_per_fu=0.00 space_group="P-1, No. 2" volume_a3_per_cell=577.7 pbc="T T T"
Ho -7.913 1.966 1.895
Ho -5.269 4.278 6.559
Ho -12.720 9.217 7.889
Ho -9.011 5.298 2.167
Ho -6.367 7.610 6.830
Ho -6.116 6.107 3.680
Ho -8.164 3.469 5.045
Ho -1.560 0.359 0.836
Tb -7.150 -1.245 -1.583
Tb -5.025 1.184 -0.062
Tb -3.151 6.675 8.071
Tb -1.545 1.921 4.229
Tb -7.130 10.821 10.309
Tb -9.255 8.392 8.788
Tb -11.128 2.901 0.655
Tb -12.735 7.655 4.496
Nd -9.250 6.832 5.281
Nd -5.030 2.744 3.444

Of them, the most stable is arrangement one and the least stable is arrangement two.

Arrangement one

11
Lattice="9.655 0.000 0.000 0.000 6.435 -2.579 0.000 -1.261 6.817" Properties=species:S:1:pos:R:3 comment="Tb2Nd7Ho2 GGA-PBE relaxed" total_magnetization_mub_per_fu=0.00 space_group="Cmmm, No. 65" volume_a3_per_cell=392.1 pbc="T T T"
Nd 3.060 3.218 -1.290
Nd 7.921 2.587 2.118
Nd 0.000 0.000 0.000
Nd 1.734 2.587 2.119
Nd 6.595 1.957 5.527
Nd 6.595 -0.630 3.408
Nd 3.060 5.804 0.829
Tb 0.000 0.804 4.295
Tb 9.655 4.370 -0.058
Ho 4.827 3.874 3.172
Ho 4.827 1.300 1.065

Arrangement two

11
Lattice="-2.414 -5.253 1.981 -3.076 -3.614 -6.636 6.145 -5.366 -0.045" Properties=species:S:1:pos:R:3 comment="Tb2Nd7Ho2 GGA-PBE relaxed" total_magnetization_mub_per_fu=0.00 space_group="C2/m, No. 12" volume_a3_per_cell=377.2 pbc="T T T"
Nd 3.054 -4.264 0.013
Nd 2.609 -10.921 -1.134
Nd -0.250 -4.184 -0.762
Nd -2.399 -9.969 -4.712
Nd -1.953 -3.313 -3.566
Nd 0.906 -10.049 -3.938
Nd 0.000 0.000 0.000
Tb -2.268 -6.623 -4.205
Tb 2.924 -7.610 -0.495
Ho 1.288 -6.255 -3.465
Ho -0.633 -7.978 -1.235

Of them, the most stable is arrangement two and the least stable is arrangement one.

Arrangement one

12
Lattice="6.362 -1.870 2.736 0.733 5.752 2.225 2.770 -2.301 10.801" Properties=species:S:1:pos:R:3 comment="Tb7NdHo4 GGA-PBE relaxed" total_magnetization_mub_per_fu=0.00 space_group="P-1, No. 2" volume_a3_per_cell=382.9 pbc="T T T"
Ho 4.088 2.605 6.355
Ho 2.142 0.189 4.557
Ho 7.723 1.393 11.205
Ho 5.778 -1.023 9.407
Tb 5.325 -0.735 5.932
Tb 7.286 1.661 7.735
Tb 4.738 0.105 12.598
Tb 5.127 1.477 3.164
Tb 4.541 2.317 9.831
Tb 2.580 -0.079 8.028
Tb 3.181 -0.935 1.368
Nd 0.000 0.000 0.000

Arrangement two

12
Lattice="5.891 0.000 0.000 2.945 11.148 -0.248 2.945 0.186 6.015" Properties=species:S:1:pos:R:3 comment="Tb7NdHo4 GGA-PBE relaxed" total_magnetization_mub_per_fu=0.00 space_group="C2/m, No. 12" volume_a3_per_cell=395.3 pbc="T T T"
Tb 2.945 0.000 0.000
Tb 5.891 5.752 4.463
Tb 5.891 5.582 1.303
Tb 2.945 7.517 1.103
Tb 8.836 10.368 2.774
Tb 8.836 3.817 4.663
Tb 2.945 0.966 2.992
Ho 5.891 2.604 3.001
Ho 8.836 7.772 4.743
Ho 2.945 3.562 1.023
Ho 5.891 8.730 2.765
Nd 0.000 0.000 0.000

Of them, the most stable is arrangement one and the least stable is arrangement two.

Arrangement one

9
Lattice="3.396 -0.686 -0.124 1.014 5.296 -1.574 -3.620 -3.353 16.463" Properties=species:S:1:pos:R:3 comment="Tb2NdHo6 GGA-PBE relaxed" total_magnetization_mub_per_fu=0.00 space_group="Cmmm, No. 65" volume_a3_per_cell=283.7 pbc="T T T"
Ho 2.528 3.842 -0.480
Ho -1.009 1.848 10.584
Ho -1.739 -2.585 15.246
Ho 1.799 -0.591 4.182
Ho -1.663 -1.236 9.806
Ho 2.453 2.493 4.959
Nd 0.395 0.628 7.383
Tb 0.323 -0.715 12.840
Tb 0.467 1.972 1.926

Arrangement two

18
Lattice="-4.850 1.266 0.299 -2.487 -10.078 2.345 1.192 2.117 10.361" Properties=species:S:1:pos:R:3 comment="Tb2NdHo6 GGA-PBE relaxed" total_magnetization_mub_per_fu=0.00 space_group="P4_2/mnm, No. 136" volume_a3_per_cell=568.8 pbc="T T T"
Ho -5.520 -3.703 10.486
Ho -0.236 -2.314 5.965
Ho -2.875 -2.995 8.216
Ho -1.492 -8.310 10.992
Ho -2.047 0.356 7.465
Ho -1.645 1.083 10.898
Ho -5.909 -4.381 7.041
Ho -0.626 -2.991 2.520
Ho -4.501 -7.778 2.107
Ho -4.654 1.615 2.013
Ho -3.270 -3.699 4.789
Ho -4.099 -7.050 5.541
Tb -4.685 -0.322 9.706
Tb -1.461 -6.373 3.300
Tb -2.445 -0.351 3.989
Tb -3.700 -6.344 9.017
Nd -3.669 -4.406 1.322
Nd 0.596 1.059 5.181

Of them, the most stable is arrangement two and the least stable is arrangement one.

Arrangement one

18
Lattice="-5.598 -0.028 -2.460 -1.344 -5.899 -9.575 -5.762 -9.737 0.523" Properties=species:S:1:pos:R:3 comment="Tb4Nd3Ho2 GGA-PBE relaxed" total_magnetization_mub_per_fu=0.00 space_group="C2/c, No. 15" volume_a3_per_cell=589.0 pbc="T T T"
Tb -2.053 -5.673 -7.956
Tb -8.041 -11.697 -6.121
Tb -3.071 -5.002 -1.401
Tb -4.640 -7.188 -9.664
Tb -8.063 -8.476 -1.848
Tb -9.632 -10.662 -10.111
Tb -10.650 -9.991 -3.556
Tb -4.662 -3.967 -5.391
Nd -8.199 -8.228 -5.346
Nd -10.588 -13.433 -8.367
Nd -4.504 -7.435 -6.166
Nd -2.115 -2.230 -3.145
Nd -5.812 -3.025 -2.321
Nd -6.891 -12.639 -9.191
Ho -7.034 -9.151 -8.395
Ho -5.669 -6.513 -3.117
Ho -7.263 -5.480 -7.100
Ho -5.440 -10.183 -4.412

Arrangement two

9
Lattice="6.174 -0.154 -0.681 -3.362 4.198 -3.126 -1.764 -1.098 12.778" Properties=species:S:1:pos:R:3 comment="Tb4Nd3Ho2 GGA-PBE relaxed" total_magnetization_mub_per_fu=0.00 space_group="P-1, No. 2" volume_a3_per_cell=295.0 pbc="T T T"
Tb -0.650 0.542 3.495
Tb 1.696 2.405 5.476
Tb -0.179 2.753 -2.315
Tb 1.226 0.193 11.285
Nd 1.879 -0.355 7.791
Nd -0.832 3.302 1.180
Nd 0.000 0.000 0.000
Ho 2.345 1.851 1.996
Ho -1.299 1.095 6.975

Of them, the most stable is arrangement two and the least stable is arrangement one.

Arrangement one

9
Lattice="5.486 0.000 1.295 2.019 7.895 3.707 0.912 3.062 8.382" Properties=species:S:1:pos:R:3 comment="TbNd4Ho4 GGA-PBE relaxed" total_magnetization_mub_per_fu=0.00 space_group="C2/m, No. 12" volume_a3_per_cell=299.4 pbc="T T T"
Nd 6.251 5.371 10.299
Nd 2.109 2.084 3.324
Nd 2.166 5.586 3.085
Nd 6.308 8.873 10.061
Ho 4.577 4.366 5.136
Ho 3.840 6.591 8.249
Ho 1.432 3.745 6.189
Ho 6.985 7.212 7.195
Tb 2.743 0.000 0.648

Arrangement two

9
Lattice="-0.971 -1.371 4.790 7.011 -1.131 3.787 -0.441 6.656 4.505" Properties=species:S:1:pos:R:3 comment="TbNd4Ho4 GGA-PBE relaxed" total_magnetization_mub_per_fu=0.00 space_group="I4/mmm, No. 139" volume_a3_per_cell=296.2 pbc="T T T"
Nd 3.584 4.988 10.223
Nd -0.941 3.521 6.196
Nd 2.016 -0.834 2.860
Nd 6.541 0.633 6.886
Ho 4.513 1.479 4.028
Ho 1.557 0.942 5.964
Ho 4.043 3.212 7.118
Ho 1.087 2.675 9.055
Tb 0.000 0.000 0.000

Of them, the most stable is arrangement two and the least stable is arrangement one.

Arrangement one

16
Lattice="0.673 -7.001 5.357 3.997 -2.616 7.048 -8.452 3.991 6.272" Properties=species:S:1:pos:R:3 comment="Tb5NdHo2 GGA-PBE relaxed" total_magnetization_mub_per_fu=0.00 space_group="P2_1/m, No. 11" volume_a3_per_cell=529.6 pbc="T T T"
Tb 3.397 -4.550 9.004
Tb -7.179 -1.076 9.672
Tb -3.442 -0.422 10.778
Tb -4.240 -2.467 7.491
Tb -6.004 -2.768 12.329
Tb 2.222 -2.859 6.347
Tb -0.339 -5.204 7.899
Tb -3.065 -4.157 10.148
Tb 0.459 -3.160 11.185
Tb -0.717 -1.469 8.528
Nd -2.619 -2.718 13.344
Nd -1.163 -2.909 5.333
Ho -0.345 -6.201 11.214
Ho 1.903 -7.266 9.546
Ho -3.437 0.574 7.463
Ho -5.685 1.639 9.131

Arrangement two

16
Lattice="5.031 0.000 0.000 0.000 7.139 0.000 0.000 0.000 14.280" Properties=species:S:1:pos:R:3 comment="Tb5NdHo2 GGA-PBE relaxed" total_magnetization_mub_per_fu=0.00 space_group="Pbam, No. 55" volume_a3_per_cell=512.9 pbc="T T T"
Tb 0.000 3.574 3.582
Tb 2.515 1.778 12.483
Tb 0.000 0.000 0.000
Tb 2.515 1.792 5.343
Tb 0.000 3.565 10.698
Tb 2.515 5.348 8.937
Tb 0.000 0.004 3.558
Tb 0.000 3.570 7.140
Tb 0.000 7.135 10.722
Tb 2.515 5.361 1.797
Nd 0.000 3.570 0.000
Nd 0.000 0.000 7.140
Ho 2.515 5.352 5.346
Ho 2.515 1.787 8.933
Ho 2.515 5.357 12.486
Ho 2.515 1.783 1.794

Of them, the most stable is arrangement two and the least stable is arrangement one.